Below is crystalline Zr4Pd2N at its relaxed geometry, with properties calculated at the GGA-PBEsol level.

```
Zr4Pd2N
1.0
8.751 0.000 0.000
4.376 7.579 0.000
4.376 2.526 7.145
Zr Pd N
16 8 4
Direct
0.125 0.125 0.125
0.125 0.125 0.625
0.125 0.625 0.125
0.625 0.125 0.125
0.681 0.681 0.319
0.319 0.319 0.681
0.681 0.319 0.681
0.319 0.681 0.319
0.681 0.319 0.319
0.319 0.681 0.681
0.569 0.569 0.931
0.931 0.931 0.569
0.569 0.931 0.569
0.931 0.569 0.931
0.569 0.931 0.931
0.931 0.569 0.569
0.911 0.911 0.911
0.911 0.911 0.267
0.911 0.267 0.911
0.267 0.911 0.911
0.339 0.339 0.339
0.339 0.339 0.983
0.339 0.983 0.339
0.983 0.339 0.339
0.625 0.625 0.625
0.625 0.625 0.125
0.625 0.125 0.625
0.125 0.625 0.625
```

Results
- DOS at the Fermi energy: 18.848 states/eV per cell

Below is crystalline ZrPdN2 at its relaxed geometry, with properties calculated at the GGA-PBEsol level.

```
ZrPdN2
1.0
-1.887 -3.930 -1.689
2.453 -2.506 3.092
-4.077 3.610 2.625
Zr Pd N
2 2 4
Direct
0.750 0.250 0.500
0.500 0.500 0.000
0.250 0.750 0.500
0.000 0.000 0.000
0.379 0.875 0.250
0.871 0.375 0.250
0.125 0.129 0.750
0.625 0.621 0.750
```

Results
- DOS at the Fermi energy: 4.838 states/eV per cell

Below is crystalline PrN at its relaxed geometry, with properties calculated at the GGA-PBEsol level.

```
PrN
1.0
-2.972 1.140 1.785
-3.173 0.342 -1.770
-2.727 -2.328 0.678
Pr N
1 1
Direct
0.000 0.000 0.000
0.500 0.500 0.500
```

Results
- DOS at the Fermi energy: 0.193 states/eV per cell

Below is crystalline PrN at its relaxed geometry, with properties calculated at the GGA-PBEsol level.

```
PrN
1.0
3.116 0.000 0.000
0.000 3.116 0.000
0.000 0.000 3.116
Pr N
1 1
Direct
0.000 0.000 0.000
0.500 0.500 0.500
```

Results
- DOS at the Fermi energy: 0.974 states/eV per cell

Below is crystalline Pr4Se3N2 at its relaxed geometry, with properties calculated at the GGA-PBEsol level.

```
Pr4Se3N2
1.0
6.422 -0.018 -0.014
-0.049 8.303 0.003
-0.049 2.059 8.044
Pr Se N
8 6 4
Direct
0.431 0.745 0.584
0.069 0.416 0.255
0.569 0.255 0.416
0.931 0.584 0.745
0.469 0.308 0.943
0.031 0.057 0.692
0.531 0.692 0.057
0.969 0.943 0.308
0.967 0.245 0.984
0.750 0.597 0.403
0.533 0.016 0.755
0.033 0.755 0.016
0.250 0.403 0.597
0.467 0.984 0.245
0.585 0.581 0.830
0.085 0.830 0.581
0.415 0.419 0.170
0.915 0.170 0.419
```

Below is crystalline Pr3Si6N11 at its relaxed geometry, with properties calculated at the GGA-PBEsol level.

```
Pr3Si6N11
1.0
4.853 0.000 0.000
0.000 10.107 0.000
0.000 0.000 10.107
Pr Si N
6 12 22
Direct
0.352 0.500 0.500
0.352 0.000 0.000
0.370 0.682 0.182
0.370 0.182 0.318
0.370 0.818 0.682
0.370 0.318 0.818
0.405 0.117 0.617
0.405 0.617 0.883
0.405 0.383 0.117
0.405 0.883 0.383
0.895 0.579 0.709
0.895 0.421 0.291
0.895 0.291 0.579
0.895 0.709 0.421
0.895 0.791 0.921
0.895 0.921 0.209
0.895 0.079 0.791
0.895 0.209 0.079
0.435 0.500 0.000
0.435 0.000 0.500
0.007 0.420 0.680
0.007 0.580 0.320
0.007 0.320 0.420
0.007 0.680 0.580
0.007 0.820 0.080
0.007 0.080 0.180
0.007 0.920 0.820
0.007 0.180 0.920
0.058 0.846 0.346
0.058 0.346 0.154
0.058 0.654 0.846
0.058 0.154 0.654
0.540 0.229 0.076
0.540 0.076 0.771
0.540 0.924 0.229
0.540 0.771 0.924
0.540 0.729 0.424
0.540 0.271 0.576
0.540 0.424 0.271
0.540 0.576 0.729
```

Results
- DOS at the Fermi energy: 0.000 states/eV per cell

Below is crystalline Pr3SnN at its relaxed geometry, with properties calculated at the GGA-PBEsol level.

```
Pr3SnN
1.0
4.993 0.000 0.000
0.000 4.993 0.000
0.000 0.000 4.993
Pr Sn N
3 1 1
Direct
0.500 0.500 0.000
0.500 0.000 0.500
0.000 0.500 0.500
0.000 0.000 0.000
0.500 0.500 0.500
```

Results
- DOS at the Fermi energy: 2.830 states/eV per cell

Below is crystalline Pr3Ta2N6 at its relaxed geometry, with properties calculated at the GGA-PBEsol level.

```
Pr3Ta2N6
1.0
4.031 0.000 0.000
0.000 4.031 0.000
-2.016 -2.016 9.881
Pr Ta N
3 2 6
Direct
0.820 0.820 0.641
0.180 0.180 0.359
0.000 0.000 0.000
0.601 0.601 0.201
0.399 0.399 0.799
0.415 0.915 0.831
0.585 0.085 0.169
0.915 0.415 0.831
0.085 0.585 0.169
0.699 0.699 0.398
0.301 0.301 0.602
```

Results
- DOS at the Fermi energy: 1.261 states/eV per cell

Below is crystalline Pr4Te3N2 at its relaxed geometry, with properties calculated at the GGA-PBEsol level.

```
Pr4Te3N2
1.0
-1.067 -1.670 -7.086
-3.380 -10.411 2.963
-11.008 3.791 0.764
Pr Te N
16 12 8
Direct
0.148 0.390 0.449
0.852 0.610 0.551
0.908 0.338 0.750
0.773 0.970 0.750
0.727 0.470 0.250
0.592 0.838 0.250
0.852 0.610 0.949
0.227 0.030 0.250
0.273 0.530 0.750
0.408 0.162 0.750
0.648 0.110 0.449
0.352 0.890 0.949
0.648 0.110 0.051
0.092 0.662 0.250
0.148 0.390 0.051
0.352 0.890 0.551
0.078 0.771 0.750
0.922 0.229 0.250
0.434 0.634 0.422
0.934 0.866 0.078
0.578 0.729 0.750
0.422 0.271 0.250
0.434 0.634 0.078
0.566 0.366 0.578
0.066 0.134 0.922
0.066 0.134 0.578
0.934 0.866 0.422
0.566 0.366 0.922
0.947 0.534 0.378
0.447 0.966 0.122
0.553 0.034 0.622
0.053 0.466 0.622
0.053 0.466 0.878
0.553 0.034 0.878
0.447 0.966 0.378
0.947 0.534 0.122
```

Below is crystalline PrUN2 at its relaxed geometry, with properties calculated at the GGA-PBEsol level.

```
PrUN2
1.0
3.497 0.000 0.000
1.748 3.028 0.000
1.748 1.009 5.734
Pr U N
1 1 2
Direct
0.000 0.000 0.000
0.500 0.500 0.500
0.766 0.766 0.701
0.234 0.234 0.299
```

Results
- DOS at the Fermi energy: 4.669 states/eV per cell

Below is crystalline PtN2 at its relaxed geometry, with properties calculated at the GGA-PBEsol level.

```
PtN2
1.0
3.134 0.000 0.000
-1.567 2.714 0.000
0.000 0.000 3.840
Pt N
1 2
Direct
0.000 0.000 0.500
0.667 0.333 0.157
0.667 0.333 0.843
```

Results
- DOS at the Fermi energy: 0.329 states/eV per cell

Below is crystalline Rb2PtN at its relaxed geometry, with properties calculated at the GGA-PBEsol level.

```
Rb2PtN
1.0
-2.203 2.999 -0.056
-3.053 0.221 8.255
5.555 6.432 2.302
Rb Pt N
4 2 2
Direct
0.875 0.766 0.734
0.375 0.234 0.266
0.391 0.734 0.234
0.359 0.266 0.766
0.000 0.000 0.000
0.750 0.500 0.500
0.500 0.000 0.000
0.250 0.500 0.500
```

Results
- DOS at the Fermi energy: 3.893 states/eV per cell

Asked for formation energy (no corrections) across the records above, the calculation gives -1018.2 -448.2 -1423.3 -712.2 -1758.6 -1445.6 -1014.3 -1485.6 -1532.8 -1500.5 781.4 -144.3 meV per atom in order.